Below is a crystal of Cu2SeS3 relaxed with PBEsol, with properties calculated at the meta-GGA SCAN level.

The structure in CIF format:
```
data_Cu2SeS3
_chemical_formula_sum 'Cu8 Se4 S12'
_space_group_name_H-M_alt 'C 1 c 1'
_space_group_IT_number 9
_space_group_name_Hall 'C -2yc'
_cell_length_a 6.2477
_cell_length_b 10.5600
_cell_length_c 7.0488
_cell_angle_alpha 90.00
_cell_angle_beta 110.39
_cell_angle_gamma 90.00
loop_
_atom_site_label
_atom_site_fract_x
_atom_site_fract_y
_atom_site_fract_z
_atom_site_occupancy
Cu1 0.0000 0.0566 0.0000 1
Cu2 0.4554 0.2333 0.9723 1
Se1 0.4905 0.1297 0.5030 1
S1 0.0761 0.2200 0.8105 1
S2 0.1022 0.1057 0.3388 1
S3 0.1204 0.4485 0.4233 1
```

Calculated values
Total energy ... -13.306 eV per atom
Uncorrected formation energy ... -0.079 eV per atom

=====

Below is a crystal of Y2CoTe2S2O14 relaxed with PBEsol, with properties calculated at the meta-GGA SCAN level.

The structure in CIF format:
```
data_Y2CoTe2S2O14
_chemical_formula_sum 'Y2 Co1 Te2 S2 O14'
_space_group_name_H-M_alt 'P -1'
_space_group_IT_number 2
_space_group_name_Hall '-P 1'
_cell_length_a 5.2140
_cell_length_b 7.7634
_cell_length_c 7.9760
_cell_angle_alpha 63.04
_cell_angle_beta 73.08
_cell_angle_gamma 85.16
loop_
_atom_site_label
_atom_site_fract_x
_atom_site_fract_y
_atom_site_fract_z
_atom_site_occupancy
Y1 0.0681 0.2529 0.0176 1
Co1 0.0000 0.0000 0.5000 1
Te1 0.4995 0.7313 0.6498 1
S1 0.2503 0.7520 0.2538 1
O1 0.1255 0.5849 0.2580 1
O2 0.1399 0.7667 0.4398 1
O3 0.1810 0.9244 0.0882 1
O4 0.2501 0.5605 0.8892 1
O5 0.2605 0.9326 0.6601 1
O6 0.2710 0.1898 0.2480 1
O7 0.4570 0.2651 0.7806 1
```

Calculated values
Fermi-level density of states ... 0.0000 states/eV/atom
Total energy ... -14.203 eV per atom
Uncorrected formation energy ... -2.108 eV per atom

=====

Below is a crystal of HfTi2As2 relaxed with PBEsol, with properties calculated at the meta-GGA SCAN level.

The structure in CIF format:
```
data_HfTi2As2
_chemical_formula_sum 'Hf2 Ti4 As4'
_space_group_name_H-M_alt 'P 4/m b m'
_space_group_IT_number 127
_space_group_name_Hall '-P 4 2ab'
_cell_length_a 6.9998
_cell_length_b 6.9998
_cell_length_c 3.3509
_cell_angle_alpha 90.00
_cell_angle_beta 90.00
_cell_angle_gamma 90.00
loop_
_atom_site_label
_atom_site_fract_x
_atom_site_fract_y
_atom_site_fract_z
_atom_site_occupancy
Hf1 0.0000 0.0000 0.0000 1
Ti1 0.1513 0.3487 0.5000 1
As1 0.1437 0.6437 0.0000 1
```

Calculated values
Fermi-level density of states ... 0.4002 states/eV/atom
Total energy ... -27.955 eV per atom
Formation energy ... -932 meV per atom

=====

Repeat the second record exactly.
Below is a crystal of Y2CoTe2S2O14 relaxed with PBEsol, with properties calculated at the meta-GGA SCAN level.

The structure in CIF format:
```
data_Y2CoTe2S2O14
_chemical_formula_sum 'Y2 Co1 Te2 S2 O14'
_space_group_name_H-M_alt 'P -1'
_space_group_IT_number 2
_space_group_name_Hall '-P 1'
_cell_length_a 5.2140
_cell_length_b 7.7634
_cell_length_c 7.9760
_cell_angle_alpha 63.04
_cell_angle_beta 73.08
_cell_angle_gamma 85.16
loop_
_atom_site_label
_atom_site_fract_x
_atom_site_fract_y
_atom_site_fract_z
_atom_site_occupancy
Y1 0.0681 0.2529 0.0176 1
Co1 0.0000 0.0000 0.5000 1
Te1 0.4995 0.7313 0.6498 1
S1 0.2503 0.7520 0.2538 1
O1 0.1255 0.5849 0.2580 1
O2 0.1399 0.7667 0.4398 1
O3 0.1810 0.9244 0.0882 1
O4 0.2501 0.5605 0.8892 1
O5 0.2605 0.9326 0.6601 1
O6 0.2710 0.1898 0.2480 1
O7 0.4570 0.2651 0.7806 1
```

Calculated values
Fermi-level density of states ... 0.0000 states/eV/atom
Total energy ... -14.203 eV per atom
Uncorrected formation energy ... -2.108 eV per atom

=====

Repeat the second record exactly.
Below is a crystal of Y2CoTe2S2O14 relaxed with PBEsol, with properties calculated at the meta-GGA SCAN level.

The structure in CIF format:
```
data_Y2CoTe2S2O14
_chemical_formula_sum 'Y2 Co1 Te2 S2 O14'
_space_group_name_H-M_alt 'P -1'
_space_group_IT_number 2
_space_group_name_Hall '-P 1'
_cell_length_a 5.2140
_cell_length_b 7.7634
_cell_length_c 7.9760
_cell_angle_alpha 63.04
_cell_angle_beta 73.08
_cell_angle_gamma 85.16
loop_
_atom_site_label
_atom_site_fract_x
_atom_site_fract_y
_atom_site_fract_z
_atom_site_occupancy
Y1 0.0681 0.2529 0.0176 1
Co1 0.0000 0.0000 0.5000 1
Te1 0.4995 0.7313 0.6498 1
S1 0.2503 0.7520 0.2538 1
O1 0.1255 0.5849 0.2580 1
O2 0.1399 0.7667 0.4398 1
O3 0.1810 0.9244 0.0882 1
O4 0.2501 0.5605 0.8892 1
O5 0.2605 0.9326 0.6601 1
O6 0.2710 0.1898 0.2480 1
O7 0.4570 0.2651 0.7806 1
```

Calculated values
Fermi-level density of states ... 0.0000 states/eV/atom
Total energy ... -14.203 eV per atom
Uncorrected formation energy ... -2.108 eV per atom